{"formula": "AcCr2CdO8", "functional": "PBE with a Hubbard U", "state": "relaxed", "dft_energy_ev_per_atom": -6.6974, "crystal_system": "tetragonal", "mass_density_kg_m3": 5068, "cell": [[6.270, -0.044, 0.000], [-2.821, 5.600, 0.000], [-1.725, -2.778, 5.350]], "species": ["Ac", "Cr", "Cr", "Cd", "O", "O", "O", "O", "O", "O", "O", "O"], "fractional_positions": [[0.000, 0.000, 0.000], [0.750, 0.250, 0.500], [0.500, 0.500, 0.000], [0.250, 0.750, 0.500], [0.407, 0.083, 0.323], [0.345, 0.520, 0.175], [0.345, 0.170, 0.825], [0.760, 0.083, 0.677], [0.830, 0.655, 0.175], [0.917, 0.240, 0.323], [0.917, 0.593, 0.677], [0.480, 0.655, 0.825]]}